{"formula": "Sc4SbTe2", "functional": "PBE-GGA", "state": "relaxed", "crystal_system": "orthorhombic", "space_group": "F222 (22)", "e_tot_ev_per_atom": -5.923, "e_form_raw_kcal_per_mol_atoms": -18.88, "cell": [[7.6882, -1.1252, -0.1551], [-1.6767, 7.5871, 0.1546], [-2.8921, -3.3362, 6.4075]], "species": ["Sc", "Sc", "Sc", "Sc", "Sc", "Sc", "Sc", "Sc", "Sb", "Sb", "Te", "Te", "Te", "Te"], "fractional_positions": [[0.7410, 0.0511, 0.6882], [0.3016, 0.1129, 0.8106], [0.3629, 0.0528, 0.3119], [0.8871, 0.6981, 0.1891], [0.9492, 0.2590, 0.3122], [0.3023, 0.4909, 0.1893], [0.9469, 0.6371, 0.6878], [0.5091, 0.6981, 0.8110], [0.0000, 0.0000, 0.0000], [0.2500, 0.7500, 0.5000], [0.6246, 0.8750, 0.2497], [0.1250, 0.3758, 0.7508], [0.6254, 0.3750, 0.7504], [0.6250, 0.3742, 0.2492]]}